Compound: CdGaBr3
Source: the Alexandria database
Functional: GGA-PBE
Structure: relaxed

It has space group Pm-3m (No. 221), with a = 5.273 Å, b = 5.273 Å, c = 5.273 Å, α = 90.00°, β = 90.00° and γ = 90.00°. The asymmetric unit holds Cd at (0.000, 0.000, 0.000), Ga at (0.500, 0.500, 0.500) and Br at (0.000, 0.500, 0.500).

The uncorrected formation energy comes out at -35 kJ per mole of atoms. For the calculated volume, the calculation gives 29.3 Å³/atom. As for the magnetic moment: 0.0 μB/f.u. The calculation puts the energy at -2.16 eV per atom.